1.
First-principles (PBE) data for a relaxed structure of YBeAgPt2, as listed in Alexandria.

```
YBeAgPt2
1.0
4.447 0.000 0.000
0.000 4.447 0.000
0.000 0.000 4.411
Y Be Ag Pt
1 1 1 2
Direct
0.000 0.000 0.000
0.500 0.500 0.500
0.500 0.500 0.000
0.000 0.500 0.500
0.500 0.000 0.500
```

## Properties
- Electronic total energy: -5.595 eV/atom
- SG: P4/mmm, No. 123
- Energy of formation: -0.570 eV per atom



2.
First-principles (PBE) data for a relaxed structure of BeZnAgPt, as listed in Alexandria.

```
BeZnAgPt
1.0
0.000 3.026 3.026
3.026 0.000 3.026
3.026 3.026 0.000
Be Zn Ag Pt
1 1 1 1
Direct
0.000 0.000 0.000
0.500 0.500 0.500
0.750 0.750 0.750
0.250 0.250 0.250
```

## Properties
- Electronic total energy: -3.715 eV/atom
- SG: F-43m, No. 216
- Energy of formation: -0.242 eV per atom



3.
First-principles (PBE) data for a relaxed structure of Be2ZnAgPt, as listed in Alexandria.

```
Be2ZnAgPt
1.0
4.280 0.000 0.000
0.000 4.280 0.000
0.000 0.000 4.792
Be Zn Ag Pt
2 1 1 1
Direct
0.000 0.500 0.000
0.500 0.000 0.000
0.000 0.000 0.500
0.500 0.500 0.500
0.000 0.000 0.000
```

## Properties
- Electronic total energy: -3.302 eV/atom
- SG: P4/mmm, No. 123
- Energy of formation: 0.221 eV per atom



Look up the energy of formation of the second one. -0.242 eV per atom



What did the third record say?
First-principles (PBE) data for a relaxed structure of Be2ZnAgPt, as listed in Alexandria.

```
Be2ZnAgPt
1.0
4.280 0.000 0.000
0.000 4.280 0.000
0.000 0.000 4.792
Be Zn Ag Pt
2 1 1 1
Direct
0.000 0.500 0.000
0.500 0.000 0.000
0.000 0.000 0.500
0.500 0.500 0.500
0.000 0.000 0.000
```

## Properties
- Electronic total energy: -3.302 eV/atom
- SG: P4/mmm, No. 123
- Energy of formation: 0.221 eV per atom



What is the energy of formation in the first record? -0.570 eV per atom



Look up the energy of formation of the third one. 0.221 eV per atom